An optimized crystal structure of Cd2GeTeRh. Source: Alexandria, functional PBE-GGA.

The structure in extended XYZ format:
```
5
Lattice="5.157 0.000 0.000 0.000 4.712 0.000 0.000 0.000 5.157" Properties=species:S:1:pos:R:3 pbc="T T T"
Ge 0.000 0.000 0.000
Te 2.578 2.356 2.578
Rh 0.000 2.356 0.000
Cd 0.000 0.000 2.578
Cd 2.578 0.000 0.000
```

Calculated values
Total moment = 0.50 μB per cell

=====

An optimized crystal structure of ZrTcSe2. Source: Alexandria, functional PBE-GGA.

The structure in extended XYZ format:
```
4
Lattice="-2.140 2.855 0.231 -2.836 -2.071 -0.672 -0.692 -1.005 6.022" Properties=species:S:1:pos:R:3 pbc="T T T"
Se -0.638 -0.927 5.553
Se -2.719 0.057 1.788
Tc -0.330 -0.479 2.870
Zr -3.019 -0.380 4.403
```

Calculated values
Total moment = 1.58 μB per cell

=====

An optimized crystal structure of Ca4PbSe5. Source: Alexandria, functional PBE-GGA.

The structure in extended XYZ format:
```
10
Lattice="0.728 2.534 3.330 5.697 -2.915 3.680 7.569 5.062 -2.799" Properties=species:S:1:pos:R:3 pbc="T T T"
Ca 6.153 3.967 1.053
Ca 3.919 0.398 1.549
Ca 10.076 4.284 2.663
Ca 7.841 0.714 3.158
Pb 0.000 0.000 0.000
Se 10.530 1.390 2.056
Se 3.465 3.291 2.155
Se 8.862 4.613 -0.031
Se 6.633 1.074 0.441
Se 5.132 0.068 4.243
```

Calculated values
Total moment = 0.00 μB per cell

=====

An optimized crystal structure of YPuOs. Source: Alexandria, functional PBE-GGA.

The structure in extended XYZ format:
```
6
Lattice="-3.763 -1.493 3.787 -1.065 -2.089 -5.023 5.133 -2.257 1.725" Properties=species:S:1:pos:R:3 pbc="T T T"
Y -2.896 -1.684 0.955
Y -1.932 -1.897 -2.192
Pu -0.653 -4.411 0.098
Pu 0.959 -1.427 0.390
Os -0.522 -2.770 2.447
Os 0.828 -3.068 -1.958
```

Calculated values
Total moment = 10.75 μB per cell

=====

An optimized crystal structure of SrZrTl2. Source: Alexandria, functional PBE-GGA.

The structure in extended XYZ format:
```
4
Lattice="-5.445 -2.598 -8.513 -6.189 -5.436 -6.403 -8.122 -2.399 -6.094" Properties=species:S:1:pos:R:3 pbc="T T T"
Sr -14.817 -7.825 -15.758
Tl -19.645 -10.374 -20.892
Tl -9.990 -5.275 -10.624
Zr -4.939 -2.608 -5.253
```

Calculated values
Total moment = 0.00 μB per cell

=====

An optimized crystal structure of Np2IF6. Source: Alexandria, functional PBE-GGA.

The structure in extended XYZ format:
```
9
Lattice="-1.689 -3.511 -0.879 3.902 -2.997 -4.559 3.500 -4.746 3.198" Properties=species:S:1:pos:R:3 pbc="T T T"
Np 4.628 -6.450 -1.214
Np 1.085 -4.804 -1.026
I 0.000 0.000 0.000
F 1.711 -3.248 0.632
F 4.002 -8.006 -2.872
F 3.876 -8.551 -0.451
F 2.917 -5.362 -2.294
F 2.796 -5.892 0.054
F 1.837 -2.702 -1.789
```

Calculated values
Total moment = 7.00 μB per cell

=====

An optimized crystal structure of Pr2TiAs3Rh4. Source: Alexandria, functional PBE-GGA.

The structure in extended XYZ format:
```
10
Lattice="4.152 0.000 0.000 0.000 4.152 0.000 0.000 0.000 10.780" Properties=species:S:1:pos:R:3 pbc="T T T"
Pr 2.076 0.000 2.572
Pr 0.000 2.076 8.208
Ti 2.076 2.076 5.390
As 0.000 0.000 5.390
As 2.076 0.000 9.309
As 0.000 2.076 1.471
Rh 2.076 2.076 0.000
Rh 0.000 0.000 0.000
Rh 2.076 0.000 6.842
Rh 0.000 2.076 3.938
```

Calculated values
Total moment = 0.00 μB per cell

=====

An optimized crystal structure of Mg8InGa6. Source: Alexandria, functional PBE-GGA.

The structure in extended XYZ format:
```
15
Lattice="-6.427 3.310 3.644 -4.149 -4.229 5.517 -0.042 1.797 7.286" Properties=species:S:1:pos:R:3 pbc="T T T"
Mg -4.534 1.593 5.693
Mg -5.580 3.311 8.340
Mg -2.569 -0.257 7.635
Mg -7.049 -0.612 6.109
Mg -3.568 1.490 10.338
Mg -8.048 1.135 8.813
Mg -5.037 -2.433 8.108
Mg -6.083 -0.715 10.755
In 0.000 0.000 0.000
Ga -2.893 2.569 7.768
Ga -7.234 2.243 6.321
Ga -4.292 -1.242 5.632
Ga -6.325 2.120 10.816
Ga -3.383 -1.365 10.127
Ga -7.724 -1.691 8.680
```

Calculated values
Total moment = 0.00 μB per cell

=====

Number 1: total DFT energy (no corrections) -0.219 Ry per atom. Number 2: total DFT energy (no corrections) -0.516 Ry per atom. Number 3: total DFT energy (no corrections) -0.341 Ry per atom. Number 4: total DFT energy (no corrections) -0.793 Ry per atom. Number 5: total DFT energy (no corrections) -0.274 Ry per atom. Number 6: total DFT energy (no corrections) -0.538 Ry per atom. Number 7: total DFT energy (no corrections) -0.517 Ry per atom. Number 8: total DFT energy (no corrections) -0.167 Ry per atom.